Computed, not measured: crystalline ZrCoSe2O at its relaxed geometry at the PBE with a Hubbard U level of DFT.

Cell: 5.3333 5.3333 3.9659 Å, 90.00 90.00 90.00°
Element x y z (fractional)
Zr1 0.0000 0.0000 0.0000
Co1 0.5000 0.5000 0.5000
Se1 0.0000 0.5000 0.0000
Se2 0.5000 0.0000 0.0000
O1 0.0000 0.0000 0.5000

Output
The crystal system is tetragonal. For the total energy, the calculation gives -5.865 eV/atom.